A relaxed structure of TbCe2ErSe6. Source: the Alexandria database, functional PBE.

a = 7.3671 Å, b = 7.3670 Å, c = 7.7699 Å
α = 61.70°, β = 61.70°, γ = 60.00°
Last column: nearest neighbours and their distance in Å.
Atoms (fractional coordinates):
Tb  0.3181  0.3181  0.0458  6 Se 2.85-2.92
Ce  0.5189  0.5189  0.4434  6 Se 2.96-3.01
Ce  0.0196  0.0196  0.9413  6 Se 2.96-3.01
Er  0.8190  0.8190  0.5431  6 Se 2.82-2.88
Se  0.6061  0.2024  0.2579  1 Tb 2.85, 1 Er 2.88, 2 Ce 2.96-3.01
Se  0.2023  0.9337  0.2579  1 Tb 2.85, 1 Er 2.88, 2 Ce 2.96-3.01
Se  0.9337  0.6061  0.2579  1 Tb 2.85, 1 Er 2.88, 2 Ce 2.96-3.01
Se  0.4381  0.7042  0.7560  1 Er 2.82, 1 Tb 2.92, 2 Ce 2.96-3.01
Se  0.7043  0.1017  0.7560  1 Er 2.82, 1 Tb 2.92, 2 Ce 2.96-3.01
Se  0.1017  0.4381  0.7560  1 Er 2.82, 1 Tb 2.92, 2 Ce 2.96-3.01

Summary:
Crystal system: trigonal
Energy (eV/atom): -5.99
Calculated volume (Å³ per cell): 305.62
ΔE_f (raw) (eV per atom): -1.80
Space-group type: R3 (146)
ρ (g/cm³): 5.87